A:
Material: Na2LiEu
Method: DFT, PBE-GGA
State: relaxed

Results
- volume (Å³ per cell) = 141
- space group = R-3m

a b c (Å): 3.7016 3.7016 12.0642
angles (deg): 81.18 81.18 60.00
Last column: nearest neighbours and their distance in Å.
Sites, in units of the cell vectors:
Eu  0.5000  0.5000  0.5000  6 Eu 3.70, 6 Na 3.90
Na  0.2584  0.2584  0.2249  3 Li 3.42, 6 Na 3.70
Na  0.7416  0.7416  0.7751  3 Li 3.42, 6 Na 3.70
Li  0.0000  0.0000  0.0000  6 Na 3.42, 6 Li 3.70


B:
Material: Na2LiEu
Method: DFT, PBE-GGA
State: relaxed

Results
- volume (Å³ per cell) = 140
- space group = P4/mmm

a b c (Å): 3.8609 3.8609 9.3848
angles (deg): 90.00 90.00 90.00
Last column: nearest neighbours and their distance in Å.
Sites, in units of the cell vectors:
Eu  0.5000  0.5000  0.5000  4 Eu 3.86, 8 Na 3.89
Na  0.0000  0.0000  0.7953  4 Li 3.34
Na  0.0000  0.0000  0.2047  4 Li 3.34
Li  0.5000  0.5000  0.0000  8 Na 3.34


C:
Material: Na2LiEu
Method: DFT, PBE-GGA
State: relaxed

Results
- volume (Å³ per cell) = 144
- space group = Fm-3m

a b c (Å): 5.8860 5.8860 5.8860
angles (deg): 60.00 60.00 60.00
Last column: nearest neighbours and their distance in Å.
Sites, in units of the cell vectors:
Eu  0.0000  0.0000  0.0000  8 Na 3.60
Na  0.2500  0.2500  0.2500  4 Li 3.60, 4 Eu 3.60
Na  0.7500  0.7500  0.7500  4 Eu 3.60, 4 Li 3.60
Li  0.5000  0.5000  0.5000  8 Na 3.60


Stability ranking, top entry: B; the second entry is 10 meV/atom less favorable.


A:
Material: NaLiEu
Method: DFT, PBE-GGA
State: relaxed

Results
- volume (Å³ per cell) = 102
- space group = I4mm

a b c (Å): 3.9014 3.9014 7.2406
angles (deg): 105.63 105.63 90.00
Last column: nearest neighbours and their distance in Å.
Sites, in units of the cell vectors:
Eu  0.6055  0.6055  0.2110  4 Li 3.57, 5 Na 3.87-3.98, 4 Eu 3.90
Na  0.3084  0.3084  0.6168  4 Li 3.25
Li  0.9361  0.9361  0.8722  4 Na 3.25, 4 Eu 3.57


B:
Material: NaLiEu
Method: DFT, PBE-GGA
State: relaxed

Results
- volume (Å³ per cell) = 105
- space group = P3m1

a b c (Å): 3.7726 5.6807 5.6807
angles (deg): 120.00 90.00 90.00
Last column: nearest neighbours and their distance in Å.
Sites, in units of the cell vectors:
Eu  0.6671  0.3333  0.6667  2 Eu 3.77, 6 Li 3.78-3.79, 6 Na 3.78-3.79
Na  0.1701  0.6667  0.3333  3 Li 3.28
Li  0.1628  0.0000  0.0000  3 Na 3.28


Stability ranking, top entry: A; the second entry is 37 meV/atom less favorable.


A:
Material: LiNd2Eu
Method: DFT, PBE-GGA
State: relaxed

Results
- volume (Å³ per cell) = 142
- space group = R-3m

a b c (Å): 3.5731 3.5731 12.9636
angles (deg): 82.08 82.08 60.00
Last column: nearest neighbours and their distance in Å.
Sites, in units of the cell vectors:
Eu  0.5000  0.5000  0.5000  6 Eu 3.57, 6 Nd 3.71
Nd  0.0862  0.0862  0.7414  1 Li 3.31, 6 Nd 3.57
Nd  0.9138  0.9138  0.2586  1 Li 3.31, 6 Nd 3.57
Li  0.0000  0.0000  0.0000  2 Nd 3.31, 6 Li 3.57


B:
Material: LiNd2Eu
Method: DFT, PBE-GGA
State: relaxed

Results
- volume (Å³ per cell) = 131
- space group = P4/mmm

a b c (Å): 3.7763 3.7763 9.1801
angles (deg): 90.00 90.00 90.00
Last column: nearest neighbours and their distance in Å.
Sites, in units of the cell vectors:
Eu  0.5000  0.5000  0.5000  4 Eu 3.78, 8 Nd 3.79
Nd  0.0000  0.0000  0.7932  4 Li 3.28
Nd  0.0000  0.0000  0.2068  4 Li 3.28
Li  0.5000  0.5000  0.0000  8 Nd 3.28


Stability ranking, top entry: B; the second entry is 129 meV/atom less favorable.


A:
Material: LiNd2Eu
Method: DFT, PBE-GGA
State: relaxed

Results
- volume (Å³ per cell) = 131
- space group = P4/mmm

a b c (Å): 3.9855 5.7412 5.7412
angles (deg): 90.00 90.00 90.00
Last column: nearest neighbours and their distance in Å.
Sites, in units of the cell vectors:
Eu  0.5000  0.5000  0.5000  8 Nd 3.49
Nd  0.0000  0.0000  0.5000  4 Eu 3.49, 4 Li 3.49
Nd  0.0000  0.5000  0.0000  4 Eu 3.49, 4 Li 3.49
Li  0.5000  0.0000  0.0000  8 Nd 3.49


B:
Material: LiNd2Eu
Method: DFT, PBE-GGA
State: relaxed

Results
- volume (Å³ per cell) = 131
- space group = Fm-3m

a b c (Å): 5.7070 5.7070 5.7070
angles (deg): 60.00 60.00 60.00
Last column: nearest neighbours and their distance in Å.
Sites, in units of the cell vectors:
Eu  0.0000  0.0000  0.0000  8 Nd 3.49
Nd  0.2500  0.2500  0.2500  4 Li 3.49, 4 Eu 3.49
Nd  0.7500  0.7500  0.7500  4 Eu 3.49, 4 Li 3.49
Li  0.5000  0.5000  0.5000  8 Nd 3.49


Stability ranking, top entry: A; the second entry is 28 meV/atom less favorable.


A:
Material: LiEu2P
Method: DFT, PBE-GGA
State: relaxed

Results
- volume (Å³ per cell) = 108
- space group = P4/mmm

a b c (Å): 3.7736 3.7736 7.5824
angles (deg): 90.00 90.00 90.00
Last column: nearest neighbours and their distance in Å.
Sites, in units of the cell vectors:
Eu  0.0000  0.0000  0.7989  1 Eu 3.05, 4 P 3.07
Eu  0.0000  0.0000  0.2011  1 Eu 3.05, 4 P 3.07
P  0.5000  0.5000  0.0000  8 Eu 3.07
Li  0.5000  0.5000  0.5000  8 Eu 3.50, 4 Li 3.77, 2 P 3.79


B:
Material: LiEu2P
Method: DFT, PBE-GGA
State: relaxed

Results
- volume (Å³ per cell) = 150
- space group = R-3m

a b c (Å): 4.0950 4.0950 10.6077
angles (deg): 78.87 78.87 60.00
Last column: nearest neighbours and their distance in Å.
Sites, in units of the cell vectors:
Eu  0.1143  0.1143  0.6572  3 P 2.87
Eu  0.8857  0.8857  0.3428  3 P 2.87
P  0.5000  0.5000  0.5000  6 Eu 2.87
Li  0.0000  0.0000  0.0000  2 Eu 3.54


Stability ranking, top entry: A; the second entry is 92 meV/atom less favorable.


A:
Material: LiEuPb
Method: DFT, PBE-GGA
State: relaxed

Results
- volume (Å³ per cell) = 85
- space group = I4mm

a b c (Å): 3.8421 3.8421 6.3720
angles (deg): 107.55 107.55 90.00
Last column: nearest neighbours and their distance in Å.
Sites, in units of the cell vectors:
Pb  0.9213  0.9213  0.8426  4 Li 2.98
Eu  0.6134  0.6134  0.2267  5 Li 3.44-3.58, 5 Pb 3.50-3.55, 4 Eu 3.84
Li  0.3154  0.3154  0.6307  4 Pb 2.98


B:
Material: LiEuPb
Method: DFT, PBE-GGA
State: relaxed

Results
- volume (Å³ per cell) = 101
- space group = F-43m

a b c (Å): 5.2338 5.2338 5.2338
angles (deg): 60.00 60.00 60.00
Last column: nearest neighbours and their distance in Å.
Sites, in units of the cell vectors:
Pb  0.2500  0.2500  0.2500  4 Eu 3.21, 4 Li 3.21
Eu  0.0000  0.0000  0.0000  4 Pb 3.21
Li  0.5000  0.5000  0.5000  4 Pb 3.21


Stability ranking, top entry: A; the second entry is 119 meV/atom less favorable.


A:
Material: LiEuPd
Method: DFT, PBE-GGA
State: relaxed

Results
- volume (Å³ per cell) = 68
- space group = P-6m2

a b c (Å): 4.0639 4.4028 4.4028
angles (deg): 120.00 90.00 90.00
Last column: nearest neighbours and their distance in Å.
Sites, in units of the cell vectors:
Eu  0.6666  0.6667  0.3333  6 Pd 3.25-3.26, 6 Li 3.25
Pd  0.1669  0.3333  0.6667  3 Li 2.54
Li  0.1665  0.0000  0.0000  3 Pd 2.54


B:
Material: LiEuPd
Method: DFT, PBE-GGA
State: relaxed

Results
- volume (Å³ per cell) = 65
- space group = I4mm

a b c (Å): 3.5593 3.5593 5.7059
angles (deg): 108.17 108.17 90.00
Last column: nearest neighbours and their distance in Å.
Sites, in units of the cell vectors:
Eu  0.9384  0.9384  0.8768  1 Li 2.89, 4 Pd 3.14
Pd  0.2554  0.2554  0.5109  4 Li 2.71
Li  0.6562  0.6562  0.3124  4 Pd 2.71, 1 Eu 2.89


C:
Material: LiEuPd
Method: DFT, PBE-GGA
State: relaxed

Results
- volume (Å³ per cell) = 79
- space group = F-43m

a b c (Å): 4.8109 4.8109 4.8109
angles (deg): 60.00 60.00 60.00
Last column: nearest neighbours and their distance in Å.
Sites, in units of the cell vectors:
Eu  0.0000  0.0000  0.0000  4 Pd 2.95
Pd  0.2500  0.2500  0.2500  4 Li 2.95, 4 Eu 2.95
Li  0.5000  0.5000  0.5000  4 Pd 2.95


Stability ranking, top entry: A; the second entry is 55 meV/atom less favorable.


A:
Material: Li2PmEu
Method: DFT, PBE-GGA
State: relaxed

Results
- volume (Å³ per cell) = 118
- space group = Fm-3m

a b c (Å): 5.5087 5.5087 5.5087
angles (deg): 60.00 60.00 60.00
Last column: nearest neighbours and their distance in Å.
Sites, in units of the cell vectors:
Eu  0.5000  0.5000  0.5000  8 Li 3.37
Li  0.2500  0.2500  0.2500  4 Pm 3.37, 4 Eu 3.37
Li  0.7500  0.7500  0.7500  4 Eu 3.37, 4 Pm 3.37
Pm  0.0000  0.0000  0.0000  8 Li 3.37


B:
Material: Li2PmEu
Method: DFT, PBE-GGA
State: relaxed

Results
- volume (Å³ per cell) = 119
- space group = P4/mmm

a b c (Å): 3.8490 3.8490 8.0270
angles (deg): 90.00 90.00 90.00
Last column: nearest neighbours and their distance in Å.
Sites, in units of the cell vectors:
Eu  0.5000  0.5000  0.5000  8 Li 3.46, 4 Eu 3.85
Li  0.0000  0.0000  0.7660  4 Pm 3.31, 4 Eu 3.46
Li  0.0000  0.0000  0.2340  4 Pm 3.31, 4 Eu 3.46
Pm  0.5000  0.5000  0.0000  8 Li 3.31


Stability ranking, top entry: B; the second entry is 22 meV/atom less favorable.


A:
Material: LiPrEu2
Method: DFT, PBE-GGA
State: relaxed

Results
- volume (Å³ per cell) = 144
- space group = R-3m

a b c (Å): 3.7273 3.7273 12.1955
angles (deg): 81.21 81.21 60.00
Last column: nearest neighbours and their distance in Å.
Sites, in units of the cell vectors:
Eu  0.7459  0.7459  0.7623  3 Li 3.57, 6 Eu 3.73, 3 Pr 3.81
Eu  0.2541  0.2541  0.2377  3 Li 3.57, 6 Eu 3.73, 3 Pr 3.81
Pr  0.5000  0.5000  0.5000  6 Pr 3.73, 6 Eu 3.81
Li  0.0000  0.0000  0.0000  6 Eu 3.57, 6 Li 3.73


B:
Material: LiPrEu2
Method: DFT, PBE-GGA
State: relaxed

Results
- volume (Å³ per cell) = 142
- space group = Fm-3m

a b c (Å): 5.8505 5.8505 5.8505
angles (deg): 60.00 60.00 60.00
Last column: nearest neighbours and their distance in Å.
Sites, in units of the cell vectors:
Eu  0.2500  0.2500  0.2500  4 Li 3.58, 4 Pr 3.58
Eu  0.7500  0.7500  0.7500  4 Pr 3.58, 4 Li 3.58
Pr  0.5000  0.5000  0.5000  8 Eu 3.58
Li  0.0000  0.0000  0.0000  8 Eu 3.58


C:
Material: LiPrEu2
Method: DFT, PBE-GGA
State: relaxed

Results
- volume (Å³ per cell) = 143
- space group = P4/mmm

a b c (Å): 3.9836 5.9831 5.9831
angles (deg): 90.00 90.00 90.00
Last column: nearest neighbours and their distance in Å.
Sites, in units of the cell vectors:
Eu  0.0000  0.0000  0.5000  4 Li 3.59, 4 Pr 3.59, 2 Eu 3.98
Eu  0.0000  0.5000  0.0000  4 Li 3.59, 4 Pr 3.59, 2 Eu 3.98
Pr  0.5000  0.5000  0.5000  8 Eu 3.59, 2 Pr 3.98
Li  0.5000  0.0000  0.0000  8 Eu 3.59, 2 Li 3.98


Stability ranking, top entry: A; the second entry is 25 meV/atom less favorable.


A:
Material: LiPr2Eu
Method: DFT, PBE-GGA
State: relaxed

Results
- volume (Å³ per cell) = 144
- space group = R-3m

a b c (Å): 3.5953 3.5953 13.0349
angles (deg): 82.07 82.07 60.00
Last column: nearest neighbours and their distance in Å.
Sites, in units of the cell vectors:
Eu  0.5000  0.5000  0.5000  6 Eu 3.60, 6 Pr 3.73
Pr  0.0863  0.0863  0.7412  1 Li 3.33, 6 Pr 3.60
Pr  0.9137  0.9137  0.2588  1 Li 3.33, 6 Pr 3.60
Li  0.0000  0.0000  0.0000  2 Pr 3.33, 6 Li 3.60


B:
Material: LiPr2Eu
Method: DFT, PBE-GGA
State: relaxed

Results
- volume (Å³ per cell) = 134
- space group = Fm-3m

a b c (Å): 5.7405 5.7405 5.7405
angles (deg): 60.00 60.00 60.00
Last column: nearest neighbours and their distance in Å.
Sites, in units of the cell vectors:
Eu  0.0000  0.0000  0.0000  8 Pr 3.52
Pr  0.2500  0.2500  0.2500  4 Eu 3.52, 4 Li 3.52
Pr  0.7500  0.7500  0.7500  4 Li 3.52, 4 Eu 3.52
Li  0.5000  0.5000  0.5000  8 Pr 3.52


C:
Material: LiPr2Eu
Method: DFT, PBE-GGA
State: relaxed

Results
- volume (Å³ per cell) = 133
- space group = P4/mmm

a b c (Å): 3.7969 3.7969 9.2408
angles (deg): 90.00 90.00 90.00
Last column: nearest neighbours and their distance in Å.
Sites, in units of the cell vectors:
Eu  0.5000  0.5000  0.5000  4 Eu 3.80, 8 Pr 3.81
Pr  0.0000  0.0000  0.7919  4 Li 3.30
Pr  0.0000  0.0000  0.2081  4 Li 3.30
Li  0.5000  0.5000  0.0000  8 Pr 3.30


D:
Material: LiPr2Eu
Method: DFT, PBE-GGA
State: relaxed

Results
- volume (Å³ per cell) = 134
- space group = P4/mmm

a b c (Å): 4.0055 5.7761 5.7761
angles (deg): 90.00 90.00 90.00
Last column: nearest neighbours and their distance in Å.
Sites, in units of the cell vectors:
Eu  0.5000  0.0000  0.0000  8 Pr 3.51
Pr  0.0000  0.0000  0.5000  4 Eu 3.51, 4 Li 3.51
Pr  0.0000  0.5000  0.0000  4 Li 3.51, 4 Eu 3.51
Li  0.5000  0.5000  0.5000  8 Pr 3.51


Stability ranking, top entry: C; the second entry is 56 meV/atom less favorable.


A:
Material: LiPrEu
Method: DFT, PBE-GGA
State: relaxed

Results
- volume (Å³ per cell) = 98
- space group = I4mm

a b c (Å): 3.8549 3.8549 7.1344
angles (deg): 105.67 105.67 90.00
Last column: nearest neighbours and their distance in Å.
Sites, in units of the cell vectors:
Eu  0.0157  0.0157  0.0315  4 Li 3.40, 4 Pr 3.80
Pr  0.3150  0.3150  0.6301  4 Li 3.34
Li  0.6692  0.6692  0.3384  4 Pr 3.34, 4 Eu 3.40


B:
Material: LiPrEu
Method: DFT, PBE-GGA
State: relaxed

Results
- volume (Å³ per cell) = 101
- space group = P3m1

a b c (Å): 3.6613 3.6613 8.7285
angles (deg): 90.00 90.00 120.00
Last column: nearest neighbours and their distance in Å.
Sites, in units of the cell vectors:
Eu  0.6667  0.3333  0.3234  3 Li 3.56, 6 Eu 3.66, 3 Pr 3.77
Pr  0.3333  0.6667  0.6812  3 Li 3.46, 6 Pr 3.66, 3 Eu 3.77
Li  0.0000  0.0000  0.9954  3 Pr 3.46, 3 Eu 3.56, 6 Li 3.66


Stability ranking, top entry: A; the second entry is 18 meV/atom less favorable.


A:
Material: LiEuPt
Method: DFT, PBE-GGA
State: relaxed

Results
- volume (Å³ per cell) = 65
- space group = P-6m2

a b c (Å): 3.9634 4.3628 4.3628
angles (deg): 120.00 90.00 90.00
Last column: nearest neighbours and their distance in Å.
Sites, in units of the cell vectors:
Eu  0.6667  0.3333  0.6667  6 Li 3.20-3.21, 6 Pt 3.20-3.21
Pt  0.1667  0.0000  0.0000  3 Li 2.52
Li  0.1666  0.6667  0.3333  3 Pt 2.52


B:
Material: LiEuPt
Method: DFT, PBE-GGA
State: relaxed

Results
- volume (Å³ per cell) = 63
- space group = I4mm

a b c (Å): 3.5712 3.5712 5.5503
angles (deg): 108.77 108.77 90.00
Last column: nearest neighbours and their distance in Å.
Sites, in units of the cell vectors:
Eu  0.9371  0.9371  0.8741  1 Li 2.79, 4 Pt 3.09
Pt  0.2578  0.2578  0.5156  4 Li 2.72
Li  0.6552  0.6552  0.3103  4 Pt 2.72, 1 Eu 2.79


C:
Material: LiEuPt
Method: DFT, PBE-GGA
State: relaxed

Results
- volume (Å³ per cell) = 76
- space group = F-43m

a b c (Å): 4.7588 4.7588 4.7588
angles (deg): 60.00 60.00 60.00
Last column: nearest neighbours and their distance in Å.
Sites, in units of the cell vectors:
Eu  0.0000  0.0000  0.0000  4 Pt 2.91
Pt  0.2500  0.2500  0.2500  4 Li 2.91, 4 Eu 2.91
Li  0.5000  0.5000  0.5000  4 Pt 2.91


Stability ranking, top entry: A; the second entry is 102 meV/atom less favorable.


A:
Material: RbLiEu2
Method: DFT, PBE-GGA
State: relaxed

Results
- volume (Å³ per cell) = 189
- space group = P4/mmm

a b c (Å): 4.0817 4.0817 11.3583
angles (deg): 90.00 90.00 90.00
Last column: nearest neighbours and their distance in Å.
Sites, in units of the cell vectors:
Eu  0.0000  0.0000  0.1744  4 Li 3.50
Eu  0.0000  0.0000  0.8256  4 Li 3.50
Rb  0.5000  0.5000  0.5000  4 Rb 4.08
Li  0.5000  0.5000  0.0000  8 Eu 3.50


B:
Material: RbLiEu2
Method: DFT, PBE-GGA
State: relaxed

Results
- volume (Å³ per cell) = 185
- space group = R-3m

a b c (Å): 3.9633 3.9633 13.7630
angles (deg): 81.72 81.72 60.00
Last column: nearest neighbours and their distance in Å.
Sites, in units of the cell vectors:
Eu  0.1003  0.1003  0.6993  3 Li 3.54, 6 Eu 3.96
Eu  0.8998  0.8998  0.3007  3 Li 3.54, 6 Eu 3.96
Rb  0.0000  0.0000  0.0000  6 Rb 3.96, 2 Eu 4.08
Li  0.5000  0.5000  0.5000  6 Eu 3.54, 6 Li 3.96


Stability ranking, top entry: A; the second entry is 86 meV/atom less favorable.